# 1
Density functional theory data (PBE) for a geometry-optimized AlCr2Os structure.

Unit cell a=2.9756 b=4.0495 c=8.5015 alpha=90.00 beta=90.00 gamma=90.00
Space group Immm (No. 71)
One atom of each set of equivalent atoms:
Al: 0.0000 0.0000 0.0000 x2
Cr: 0.0000 0.5000 0.2460 x4
Os: 0.0000 0.0000 0.5000 x2

Computed properties:
For the formation enthalpy at 0 K, the calculation gives -170 meV per atom. The value obtained for the raw total energy is -8.725 eV/atom. The value obtained for the total magnetic moment is 0.00 Bohr magnetons per cell.


# 2
Density functional theory data (PBE) for a geometry-optimized Nb4Cr2Rh structure.

Unit cell a=4.7598 b=4.7598 c=12.3671 alpha=90.00 beta=90.00 gamma=90.00
Space group I4/mmm (No. 139)
One atom of each set of equivalent atoms:
Nb: 0.0000 0.0000 0.2071 x4
Nb: 0.0000 0.5000 0.0000 x4
Cr: 0.0000 0.0000 0.3875 x4
Rh: 0.0000 0.0000 0.0000 x2

Computed properties:
For the formation enthalpy at 0 K, the calculation gives 1144 meV per atom. The value obtained for the raw total energy is -8.409 eV/atom. The value obtained for the total magnetic moment is 3.29 Bohr magnetons per cell.


# 3
Density functional theory data (PBE) for a geometry-optimized ThCoGe3 structure.

Unit cell a=6.0919 b=5.5388 c=5.6675 alpha=90.00 beta=90.00 gamma=90.00
Space group Pmn2_1 (No. 31)
One atom of each set of equivalent atoms:
Th: 0.0000 0.1358 0.0000 x2
Co: 0.0000 0.6066 0.2436 x2
Ge: 0.0000 0.9013 0.5308 x2
Ge: 0.2333 0.3398 0.4551 x4

Computed properties:
For the formation enthalpy at 0 K, the calculation gives -538 meV per atom. The value obtained for the raw total energy is -6.213 eV/atom. The value obtained for the total magnetic moment is 0.00 Bohr magnetons per cell.


# 4
Density functional theory data (PBE) for a geometry-optimized CoPS2N structure.

Unit cell a=14.2245 b=3.1079 c=4.0733 alpha=90.00 beta=91.61 gamma=90.00
Space group Cm (No. 8)
One atom of each set of equivalent atoms:
Co: 0.0000 0.0000 0.0000 x2
P: 0.3497 0.5000 0.9571 x2
S: 0.0480 0.5000 0.6520 x2
S: 0.2860 0.0000 0.2379 x2
N: 0.0168 0.5000 0.2705 x2

Computed properties:
Its formation energy without anion corrections is 123 meV/atom. The value obtained for the raw total energy is -5.696 eV/atom. The value obtained for the total magnetic moment is 0.00 Bohr magnetons per cell. For the energy above the most stable polymorph in this dataset, the calculation gives 174.9 meV per atom.


# 5
Density functional theory data (PBE) for a geometry-optimized HoLu2Cd structure.

Unit cell a=3.4019 b=3.4019 c=35.2413 alpha=90.00 beta=90.00 gamma=120.00
Space group R-3m (No. 166, hexagonal axes)
One atom of each set of equivalent atoms:
Ho: 0.0000 0.0000 0.0000 x3
Lu: 0.0000 0.0000 0.0954 x6
Cd: 0.0000 0.0000 0.5000 x3

Computed properties:
For the formation enthalpy at 0 K, the calculation gives 172 meV per atom. The value obtained for the raw total energy is -3.462 eV/atom. The value obtained for the total magnetic moment is 2.50 Bohr magnetons per cell. For the energy above the most stable polymorph in this dataset, the calculation gives 315.3 meV per atom.


# 6
Density functional theory data (PBE) for a geometry-optimized Tb2MgGe3Pt4 structure.

Unit cell a=4.2328 b=4.2328 c=10.6427 alpha=90.00 beta=90.00 gamma=90.00
Space group P-4m2 (No. 115)
One atom of each set of equivalent atoms:
Tb: 0.0000 0.5000 0.2430 x2
Mg: 0.0000 0.0000 0.5000 x1
Ge: 0.0000 0.5000 0.8684 x2
Ge: 0.5000 0.5000 0.5000 x1
Pt: 0.0000 0.0000 0.0000 x1
Pt: 0.0000 0.5000 0.6421 x2
Pt: 0.5000 0.5000 0.0000 x1

Computed properties:
For the formation enthalpy at 0 K, the calculation gives -909 meV per atom. The value obtained for the raw total energy is -5.796 eV/atom. The value obtained for the total magnetic moment is 0.00 Bohr magnetons per cell.


# 7
Density functional theory data (PBE) for a geometry-optimized In3CuO6 structure.

Unit cell a=8.6940 b=10.6066 c=5.3316 alpha=90.00 beta=90.00 gamma=90.00
Space group Cmc2_1 (No. 36)
One atom of each set of equivalent atoms:
In: 0.0000 0.1062 0.0000 x4
In: 0.2065 0.3806 0.0599 x8
Cu: 0.0000 0.3609 0.5792 x4
O: 0.0000 0.2852 0.2516 x4
O: 0.0000 0.4741 0.8862 x4
O: 0.1478 0.2463 0.7666 x8
O: 0.1619 0.0182 0.2724 x8

Computed properties:
Its formation energy without anion corrections is -1161 meV/atom. The value obtained for the raw total energy is -5.367 eV/atom. The value obtained for the total magnetic moment is 3.48 Bohr magnetons per cell.


# 8
Density functional theory data (PBE) for a geometry-optimized Cs2Hg3Bi2 structure.

Unit cell a=6.1910 b=6.9929 c=7.5206 alpha=99.69 beta=114.28 gamma=90.10
Space group P-1 (No. 2)
One atom of each set of equivalent atoms:
Cs: 0.1127 0.3025 0.2260 x2
Hg: 0.2381 0.8362 0.4742 x2
Hg: 0.5000 0.0000 0.0000 x1
Bi: 0.4066 0.3311 0.8159 x2

Computed properties:
For the formation enthalpy at 0 K, the calculation gives -254 meV per atom. The value obtained for the raw total energy is -1.736 eV/atom. The value obtained for the total magnetic moment is 0.00 Bohr magnetons per cell. For the energy above the most stable polymorph in this dataset, the calculation gives 0.0 meV per atom.


# 9
Density functional theory data (PBE) for a geometry-optimized SmYCd5 structure.

Unit cell a=5.1795 b=5.1795 c=6.9237 alpha=90.00 beta=90.00 gamma=90.00
Space group P4/mmm (No. 123)
One atom of each set of equivalent atoms:
Sm: 0.0000 0.0000 0.0000 x1
Y: 0.5000 0.5000 0.5000 x1
Cd: 0.0000 0.5000 0.2686 x4
Cd: 0.5000 0.5000 0.0000 x1

Computed properties:
For the formation enthalpy at 0 K, the calculation gives -119 meV per atom. The value obtained for the raw total energy is -2.370 eV/atom. The value obtained for the total magnetic moment is 0.00 Bohr magnetons per cell.


# 10
Density functional theory data (PBE) for a geometry-optimized Ac8Ni3Au2 structure.

Unit cell a=15.8216 b=8.4484 c=7.3776 alpha=90.00 beta=108.03 gamma=90.00
Space group C2/m (No. 12)
One atom of each set of equivalent atoms:
Ac: 0.1096 0.0000 0.4052 x4
Ac: 0.1121 0.2455 0.9062 x8
Ac: 0.1127 0.5000 0.4255 x4
Ni: 0.0000 0.0000 0.0000 x2
Ni: 0.0000 0.2532 0.5000 x4
Au: 0.2465 0.5000 0.1740 x4

Computed properties:
For the formation enthalpy at 0 K, the calculation gives -320 meV per atom. The value obtained for the raw total energy is -4.687 eV/atom. The value obtained for the total magnetic moment is 0.00 Bohr magnetons per cell.


# 11
Density functional theory data (PBE) for a geometry-optimized Dy3Y5Er2 structure.

Unit cell a=10.6933 b=15.8875 c=9.3960 alpha=90.00 beta=124.67 gamma=90.00
Space group C2/c (No. 15)
One atom of each set of equivalent atoms:
Dy: 0.0000 0.2201 0.2500 x4
Dy: 0.1477 0.1294 0.0469 x8
Y: 0.0000 0.0201 0.2500 x4
Y: 0.0000 0.2793 0.7500 x4
Y: 0.0000 0.4799 0.7500 x4
Y: 0.2490 0.3628 0.2497 x8
Er: 0.1489 0.3692 0.5461 x8

Computed properties:
For the formation enthalpy at 0 K, the calculation gives 194 meV per atom. The value obtained for the raw total energy is -5.332 eV/atom. The value obtained for the total magnetic moment is 0.00 Bohr magnetons per cell. For the energy above the most stable polymorph in this dataset, the calculation gives 0.0 meV per atom.


# 12
Density functional theory data (PBE) for a geometry-optimized Ba2NpCuS6 structure.

Unit cell a=5.0845 b=5.0845 c=9.5682 alpha=90.00 beta=90.00 gamma=90.00
Space group P4/mmm (No. 123)
One atom of each set of equivalent atoms:
Ba: 0.0000 0.0000 0.2160 x2
Np: 0.5000 0.5000 0.5000 x1
Cu: 0.5000 0.5000 0.0000 x1
S: 0.0000 0.5000 0.0000 x2
S: 0.0000 0.5000 0.5000 x2
S: 0.5000 0.5000 0.2403 x2

Computed properties:
Its formation energy without anion corrections is -1205 meV/atom. The value obtained for the raw total energy is -5.770 eV/atom. The value obtained for the total magnetic moment is 1.89 Bohr magnetons per cell.